Computed, not measured: a relaxed structure of PuBeNiO4 at the PBE+U level of DFT.

Summary:
Its total magnetic moment is 6.00 μB per formula unit. The value obtained for the density of states at the Fermi level is 1.01 states/eV per atom. For the total energy, the calculation gives -7.981 eV per atom. The calculated volume comes out at 10.60 Å³ per atom.

The structure in POSCAR format:
```
PuBeNiO4
1.0
-4.559 -0.030 2.030
1.353 -4.166 -2.390
2.524 -2.411 5.631
Ni Be O Pu
2 2 8 2
Direct
0.500 0.500 0.500
0.500 0.500 0.000
0.859 0.141 0.750
0.141 0.859 0.250
0.740 0.260 0.941
0.260 0.740 0.441
0.740 0.260 0.559
0.719 0.781 0.750
0.781 0.719 0.250
0.260 0.740 0.059
0.281 0.219 0.250
0.219 0.281 0.750
0.794 0.206 0.250
0.206 0.794 0.750
```